GGA-PBE BaReSb2C, optimized geometry; size of the total moment = 2.7 μB per cell; volume = 169 Å³/f.u.; energy relative to the elements, uncorrected = 1324.6 meV/atom; SG = No. 123
1.0
-0.0669 -4.2514 -2.7248
6.3503 -1.0841 1.5356
-1.4318 -2.5972 4.0875
Sb Ba Re C
2 1 1 1
Direct
0.0000 0.0000 0.5000
0.5000 0.0000 0.0000
0.0000 0.5000 0.0000
0.0000 0.0000 0.0000
0.5000 0.5000 0.5000

=====

GGA-PBE BaYReC2, optimized geometry; energy of formation = 2.187 eV per atom; size of the total moment = 2.4 μB per cell; volume = 121 Å³/f.u.; SG = No. 123
1.0
4.7477 0.0000 0.0000
0.0000 5.3814 0.0000
0.0000 0.0000 4.7477
Y C Re Ba
1 2 1 1
Direct
0.0000 0.0000 0.0000
0.5000 0.0000 0.0000
0.0000 0.0000 0.5000
0.0000 0.5000 0.0000
0.5000 0.5000 0.5000

=====

GGA-PBE Ba2RhC2, optimized geometry; energy of formation = 0.567 eV per atom; size of the total moment = 1.5 μB per cell; volume = 154 Å³/f.u.; SG = No. 15
1.0
5.4742 0.0000 0.0000
-2.7371 11.3121 4.7250
0.0000 5.5531 7.3005
Ba C Rh
4 4 2
Direct
0.3872 0.2689 0.1043
0.1183 0.7311 0.3957
0.8817 0.2689 0.6043
0.6128 0.7311 0.8957
0.1928 0.7298 0.0835
0.5370 0.7298 0.5835
0.8072 0.2702 0.9165
0.4630 0.2702 0.4165
0.1966 0.0000 0.7500
0.8034 0.0000 0.2500

=====

GGA-PBE BaRhC, optimized geometry; energy of formation = 0.304 eV per atom; size of the total moment = 0.0 μB per cell; volume = 56 Å³/f.u.; SG = No. 198
1.0
-1.4428 2.4103 -5.3950
3.1230 -4.4034 -2.8025
-5.0162 -3.4348 -0.1930
C Ba Rh
4 4 4
Direct
0.3464 0.6536 0.1536
0.8464 0.8464 0.8464
0.1536 0.3464 0.6536
0.6536 0.1536 0.3464
0.8821 0.6179 0.3821
0.6179 0.3821 0.8821
0.3821 0.8821 0.6179
0.1179 0.1179 0.1179
0.6027 0.8973 0.1027
0.1027 0.6027 0.8973
0.8973 0.1027 0.6027
0.3973 0.3973 0.3973

=====

Question: Look up the volume of the second one.
Answer: 121 Å³/f.u.

=====

Please write out number 2 again, unchanged.
GGA-PBE BaYReC2, optimized geometry; energy of formation = 2.187 eV per atom; size of the total moment = 2.4 μB per cell; volume = 121 Å³/f.u.; SG = No. 123
1.0
4.7477 0.0000 0.0000
0.0000 5.3814 0.0000
0.0000 0.0000 4.7477
Y C Re Ba
1 2 1 1
Direct
0.0000 0.0000 0.0000
0.5000 0.0000 0.0000
0.0000 0.0000 0.5000
0.0000 0.5000 0.0000
0.5000 0.5000 0.5000

=====

Question: Among the records above, which one has the lowest size of the total moment?
Answer: BaRhC

=====

Question: The lowest size of the total moment belongs to which entry?
Answer: BaRhC